DFT (GGA-PBE) results for an optimized crystal structure of TbCeMgIr.

Cell and atoms, written as POSCAR:
```
TbCeMgIr
1.0
5.0777 0.0000 0.0000
2.5388 4.3974 0.0000
2.5388 1.4658 4.1459
Mg Ir Tb Ce
1 1 1 1
direct
0.5000 0.5000 0.5000
0.0000 0.0000 0.0000
0.7500 0.7500 0.7500
0.2500 0.2500 0.2500
```

Output
space-group type: No. 216
final energy: -5.58 eV/atom
calculated formation energy: -0.33 eV/atom